No. 1
YMn2O5: PBEsol geometry, meta-GGA SCAN.

space group = No. 55

Geometry as CIF:
```
data_YMn2O5
_chemical_formula_sum 'Y4 Mn8 O20'
_cell_length_a 5.6528
_cell_length_b 7.2003
_cell_length_c 8.4432
_cell_angle_alpha 90.00
_cell_angle_beta 90.00
_cell_angle_gamma 90.00
_space_group_name_H-M_alt 'P 1'
_space_group_IT_number 1
loop_
_space_group_symop_operation_xyz
'x,y,z'
loop_
_atom_site_label
_atom_site_fract_x
_atom_site_fract_y
_atom_site_fract_z
_atom_site_occupancy
Y1 0.0000 0.6374 0.3282 1
Y2 0.0000 0.3626 0.6718 1
Y3 0.0000 0.1374 0.1718 1
Y4 0.0000 0.8626 0.8282 1
Mn1 0.5000 0.9118 0.1503 1
Mn2 0.5000 0.0882 0.8497 1
Mn3 0.5000 0.4118 0.3497 1
Mn4 0.5000 0.5882 0.6503 1
Mn5 0.2537 0.5000 0.0000 1
Mn6 0.7463 0.0000 0.5000 1
Mn7 0.7463 0.5000 0.0000 1
Mn8 0.2537 0.0000 0.5000 1
O1 0.2712 0.5000 0.5000 1
O2 0.7288 0.0000 0.0000 1
O3 0.7288 0.5000 0.5000 1
O4 0.2712 0.0000 0.0000 1
O5 0.0000 0.6650 0.0557 1
O6 0.0000 0.3350 0.9443 1
O7 0.0000 0.1650 0.4443 1
O8 0.0000 0.8350 0.5557 1
O9 0.5000 0.6548 0.0657 1
O10 0.5000 0.3452 0.9343 1
O11 0.5000 0.1548 0.4343 1
O12 0.5000 0.8452 0.5657 1
O13 0.2439 0.8948 0.2925 1
O14 0.2439 0.1052 0.7075 1
O15 0.7561 0.3948 0.2075 1
O16 0.7561 0.6052 0.7925 1
O17 0.7561 0.1052 0.7075 1
O18 0.7561 0.8948 0.2925 1
O19 0.2439 0.6052 0.7925 1
O20 0.2439 0.3948 0.2075 1
```



No. 2
Y2Mn2O7: PBEsol geometry, meta-GGA SCAN.

DOS at the Fermi energy = 0.000 states/eV/atom
space group = No. 227

Geometry as CIF:
```
data_Y2Mn2O7
_chemical_formula_sum 'Y4 Mn4 O14'
_cell_length_a 6.9674
_cell_length_b 6.9674
_cell_length_c 6.9674
_cell_angle_alpha 60.00
_cell_angle_beta 60.00
_cell_angle_gamma 60.00
_space_group_name_H-M_alt 'P 1'
_space_group_IT_number 1
loop_
_space_group_symop_operation_xyz
'x,y,z'
loop_
_atom_site_label
_atom_site_fract_x
_atom_site_fract_y
_atom_site_fract_z
_atom_site_occupancy
Y1 0.1250 0.6250 0.6250 1
Y2 0.6250 0.6250 0.6250 1
Y3 0.6250 0.1250 0.6250 1
Y4 0.6250 0.6250 0.1250 1
Mn1 0.6250 0.1250 0.1250 1
Mn2 0.1250 0.1250 0.1250 1
Mn3 0.1250 0.6250 0.1250 1
Mn4 0.1250 0.1250 0.6250 1
O1 0.5000 0.5000 0.5000 1
O2 0.7500 0.7500 0.7500 1
O3 0.2032 0.2032 0.7968 1
O4 0.4532 0.4532 0.0468 1
O5 0.7968 0.2032 0.7968 1
O6 0.2032 0.7968 0.7968 1
O7 0.7968 0.2032 0.2032 1
O8 0.2032 0.7968 0.2032 1
O9 0.7968 0.7968 0.2032 1
O10 0.4532 0.0468 0.0468 1
O11 0.0468 0.4532 0.4532 1
O12 0.0468 0.0468 0.4532 1
O13 0.0468 0.4532 0.0468 1
O14 0.4532 0.0468 0.4532 1
```



No. 3
MnZn4O5: PBEsol geometry, meta-GGA SCAN.

DOS at the Fermi energy = 0.070 states/eV/atom
space group = No. 8
energy above the lowest structure with this stoichiometry = 0.000 eV/f.u.

Geometry as CIF:
```
data_MnZn4O5
_chemical_formula_sum 'Mn2 Zn8 O10'
_cell_length_a 3.2536
_cell_length_b 6.1819
_cell_length_c 12.4538
_cell_angle_alpha 92.89
_cell_angle_beta 90.00
_cell_angle_gamma 105.26
_space_group_name_H-M_alt 'P 1'
_space_group_IT_number 1
loop_
_space_group_symop_operation_xyz
'x,y,z'
loop_
_atom_site_label
_atom_site_fract_x
_atom_site_fract_y
_atom_site_fract_z
_atom_site_occupancy
Mn1 0.1330 0.2659 0.2324 1
Mn2 0.9333 0.8667 0.6344 1
Zn1 0.0664 0.1328 0.8685 1
Zn2 0.2642 0.5284 0.4666 1
Zn3 0.4633 0.9266 0.0650 1
Zn4 0.3321 0.6642 0.8348 1
Zn5 0.6669 0.3337 0.6681 1
Zn6 0.8670 0.7340 0.2675 1
Zn7 0.7330 0.4660 0.0325 1
Zn8 0.5326 0.0652 0.4339 1
O1 0.2173 0.4347 0.9433 1
O2 0.0168 0.0336 0.3444 1
O3 0.4156 0.8312 0.5403 1
O4 0.4836 0.9672 0.9086 1
O5 0.2858 0.5716 0.3103 1
O6 0.0864 0.1728 0.7113 1
O7 0.8161 0.6323 0.7451 1
O8 0.6152 0.2303 0.1385 1
O9 0.6831 0.3663 0.5102 1
O10 0.8831 0.7661 0.1100 1
```



Number 1: formation energy (no corrections) -2.82 eV/atom, total magnetization 7.00 μB per formula unit. Number 2: formation energy (no corrections) -3.05 eV/atom, total magnetization 6.03 μB per formula unit. Number 3: formation energy (no corrections) -1.67 eV/atom, total magnetization 4.98 μB per formula unit.